1.
LaDyY2P4 after structural relaxation, computed with PBE-GGA.

Results
total moment	0.00	μB/f.u.
DFT formation energy	-1.5947	eV/atom
space group	No. 10

Cell: 4.0814 7.0649 7.0641 Å, 109.43 90.00 90.00°
Closest atoms and distances in Å follow each position.
Fractional positions:
La: 0.5000 0.5000 0.0000  6 P 2.93-2.94
Dy: 0.0000 0.0000 0.0000  6 P 2.88
Y: 0.5000 0.0000 0.5000  6 P 2.83-2.84
Y: 0.0000 0.5000 0.5000  6 P 2.89
P: 0.5000 0.2452 0.2537  3 Y 2.83-2.89, 2 Dy 2.88, 1 La 2.93
P: 0.5000 0.7548 0.7463  3 Y 2.83-2.89, 2 Dy 2.88, 1 La 2.93
P: 0.0000 0.2409 0.7413  3 Y 2.84-2.89, 1 Dy 2.88, 2 La 2.94
P: 0.0000 0.7591 0.2587  3 Y 2.84-2.89, 1 Dy 2.88, 2 La 2.94

=====

2.
La2DyZrP4 after structural relaxation, computed with PBE-GGA.

Results
total moment	0.00	μB/f.u.
DFT formation energy	-1.5189	eV/atom
space group	No. 10

Cell: 4.0422 7.0076 7.0660 Å, 109.15 90.00 90.00°
Closest atoms and distances in Å follow each position.
Fractional positions:
La: 0.5000 0.0000 0.5000  6 P 2.93
La: 0.0000 0.5000 0.5000  6 P 3.00
Dy: 0.5000 0.5000 0.0000  6 P 2.82
Zr: 0.0000 0.0000 0.0000  6 P 2.73-2.75
P: 0.5000 0.2334 0.2243  2 Zr 2.75, 1 Dy 2.82, 3 La 2.93-3.00
P: 0.5000 0.7666 0.7757  2 Zr 2.75, 1 Dy 2.82, 3 La 2.93-3.00
P: 0.0000 0.2478 0.7712  1 Zr 2.73, 2 Dy 2.82, 3 La 2.93-3.00
P: 0.0000 0.7522 0.2288  1 Zr 2.73, 2 Dy 2.82, 3 La 2.93-3.00

=====

What is the formula in the second record?
La2DyZrP4

=====

Look up the DFT formation energy of the first one.
-1.5947 eV/atom

=====

Look up the DFT formation energy of the first one.
-1.5947 eV/atom